# 1
DFT (PBE-GGA) results for a relaxed NaScCdTe2 crystal.

The structure in POSCAR format:
```
NaScCdTe2
1.0
5.724 0.000 0.000
0.000 5.724 0.000
0.000 0.000 4.988
Na Sc Cd Te
1 1 1 2
Direct
0.000 0.000 0.000
0.500 0.500 0.000
0.000 0.000 0.500
0.000 0.500 0.500
0.500 0.000 0.500
```

Summary:
Formation energy (no corrections): 0.1657 eV/atom

# 2
DFT (PBE-GGA) results for a relaxed NaScTlCd crystal.

The structure in POSCAR format:
```
NaScTlCd
1.0
7.234 0.000 0.000
0.000 7.234 0.000
0.000 0.000 7.234
Na Sc Tl Cd
4 4 4 4
Direct
0.000 0.000 0.000
0.000 0.500 0.500
0.500 0.000 0.500
0.500 0.500 0.000
0.000 0.000 0.500
0.000 0.500 0.000
0.500 0.000 0.000
0.500 0.500 0.500
0.250 0.250 0.250
0.250 0.750 0.750
0.750 0.250 0.750
0.750 0.750 0.250
0.250 0.250 0.750
0.250 0.750 0.250
0.750 0.250 0.250
0.750 0.750 0.750
```

Summary:
DFT formation energy: -0.489 eV per formula unit